# Na2CrCl2F2, optimized geometry, DFT PBE+U
data_Na2CrCl2F2
_space_group_name_H-M_alt 'P -1'
_space_group_IT_number 2
_cell_length_a 3.623
_cell_length_b 5.946
_cell_length_c 6.447
_cell_angle_alpha 70.66
_cell_angle_beta 84.82
_cell_angle_gamma 80.82
loop_
_space_group_symop_operation_xyz
'x,y,z'
'-x,-y,-z'
loop_
_atom_site_label
_atom_site_type_symbol
_atom_site_fract_x
_atom_site_fract_y
_atom_site_fract_z
Na1 Na 0.227 0.100 0.254
Cr1 Cr 0.500 0.500 0.500
Cl1 Cl 0.103 0.278 0.801
F1 F 0.333 0.785 0.597
# * calculated density: 2.66 g/cm³
# * DFT total energy: -4.626 eV per atom